The following is a PBE calculation of Na2Ga4CuAu after structural relaxation, from the Open Quantum Materials Database.

Summary:
- E: -2.910 eV/atom

```
data_Na2Ga4CuAu
_chemical_formula_sum 'Na2 Ga4 Cu1 Au1'
_cell_length_a 7.197
_cell_length_b 5.350
_cell_length_c 5.350
_cell_angle_alpha 46.97
_cell_angle_beta 90.00
_cell_angle_gamma 90.00
_space_group_name_H-M_alt 'P 1'
_space_group_IT_number 1
loop_
_space_group_symop_operation_xyz
'x,y,z'
loop_
_atom_site_label
_atom_site_fract_x
_atom_site_fract_y
_atom_site_fract_z
Cu1 0.500 0.716 0.716
Au1 0.000 0.285 0.285
Ga1 0.316 0.141 0.141
Ga2 0.684 0.141 0.141
Ga3 0.792 0.857 0.857
Ga4 0.208 0.857 0.857
Na1 0.500 0.433 0.433
Na2 0.000 0.570 0.570
```